No. 1
Compound: Nb2IrRu2
Source: Alexandria via LeMat-Bulk
Functional: PBE
Structure: optimized geometry

Energy above the most stable polymorph in this dataset, kJ per mole of atoms: 13.5

The structure in extended XYZ format:
```
10
Lattice="4.247 0.000 0.000 -2.124 3.678 0.000 0.000 0.000 10.738" Properties=species:S:1:pos:R:3 pbc="T T T"
Ir 0.000 0.000 8.054
Ir 0.000 0.000 2.685
Nb 0.000 2.452 6.460
Nb 2.124 1.226 1.091
Nb 2.124 1.226 4.278
Nb 0.000 2.452 9.647
Ru 0.000 0.000 0.000
Ru 0.000 2.452 2.685
Ru 2.124 1.226 8.054
Ru 0.000 0.000 5.369
```

No. 2
Compound: Ca3Br
Source: Alexandria via LeMat-Bulk
Functional: PBE
Structure: optimized geometry

Energy above the most stable polymorph in this dataset, kJ per mole of atoms: 3.4
Formation energy without anion corrections, eV/atom: -0.6363

The structure in extended XYZ format:
```
4
Lattice="3.805 0.000 0.000 0.000 3.949 -0.118 0.000 0.326 10.328" Properties=species:S:1:pos:R:3 pbc="T T T"
Ca 1.903 4.199 7.839
Ca 0.000 2.138 5.105
Ca 1.903 0.076 2.372
Br 0.000 0.000 0.000
```

No. 3
Compound: Ce2NdAlN
Source: Alexandria via LeMat-Bulk
Functional: PBE
Structure: optimized geometry

Formation energy without anion corrections, eV/atom: -0.7325

The structure in extended XYZ format:
```
5
Lattice="5.052 0.000 0.000 0.000 4.835 0.000 0.000 0.000 4.835" Properties=species:S:1:pos:R:3 pbc="T T T"
N 0.000 0.000 0.000
Ce 0.000 2.418 0.000
Ce 0.000 0.000 2.418
Al 2.526 2.418 2.418
Nd 2.526 0.000 0.000
```

No. 4
Compound: Ac2YHg2
Source: Alexandria via LeMat-Bulk
Functional: PBE
Structure: optimized geometry

The structure in extended XYZ format:
```
5
Lattice="4.153 0.000 0.000 2.077 6.607 0.277 2.077 2.036 6.292" Properties=species:S:1:pos:R:3 pbc="T T T"
Ac 2.077 2.517 1.913
Ac 6.230 6.126 4.656
Hg 4.153 3.376 4.529
Hg 4.153 5.268 2.040
Y 0.000 0.000 0.000
```

No. 5
Compound: BiBPt3
Source: Alexandria via LeMat-Bulk
Functional: PBE
Structure: optimized geometry

Energy above the most stable polymorph in this dataset, kJ per mole of atoms: 19.5

The structure in extended XYZ format:
```
10
Lattice="-1.528 2.026 2.213 -6.866 -0.712 -4.088 -0.990 -6.559 2.806" Properties=species:S:1:pos:R:3 pbc="T T T"
Pt -6.076 -5.192 -0.697
Pt -3.308 -0.052 1.629
Pt -5.328 0.347 -0.153
Pt -1.643 -5.341 2.521
Pt -4.056 -5.592 1.084
Pt -7.742 0.096 -1.590
B -2.246 -0.117 -0.142
B -7.138 -5.128 1.074
Bi -6.217 -2.214 -0.980
Bi -3.167 -3.031 1.912
```

No. 6
Compound: MgSiAs2O
Source: Alexandria via LeMat-Bulk
Functional: PBE
Structure: optimized geometry

Formation energy without anion corrections, eV/atom: 0.7601

The structure in extended XYZ format:
```
5
Lattice="4.608 0.000 0.000 0.000 5.122 0.000 0.000 0.000 4.608" Properties=species:S:1:pos:R:3 pbc="T T T"
Si 0.000 0.000 0.000
Mg 0.000 2.561 0.000
O 2.304 2.561 2.304
As 2.304 0.000 0.000
As 0.000 0.000 2.304
```

No. 7
Compound: Tb2Tm3Zn3
Source: Alexandria via LeMat-Bulk
Functional: PBE
Structure: optimized geometry

The structure in extended XYZ format:
```
8
Lattice="-0.787 3.487 -0.196 -4.744 -1.153 -1.457 -0.333 -1.294 11.019" Properties=species:S:1:pos:R:3 pbc="T T T"
Zn -0.703 -0.029 2.313
Zn -2.372 -0.576 -0.728
Zn -5.161 1.069 7.053
Tb -1.808 1.686 4.554
Tb -4.057 -0.645 4.813
Tm -0.393 1.743 -0.098
Tm -3.492 1.137 1.562
Tm -2.373 -0.097 7.805
```

No. 8
Compound: La5Nd2Dy4
Source: Alexandria via LeMat-Bulk
Functional: PBE
Structure: optimized geometry

Energy above the most stable polymorph in this dataset, kJ per mole of atoms: 8.6

The structure in extended XYZ format:
```
11
Lattice="-0.942 3.039 1.638 2.145 -3.798 8.282 10.546 4.398 -6.004" Properties=species:S:1:pos:R:3 pbc="T T T"
Nd 5.769 1.483 4.476
Nd 5.980 2.156 -0.560
La 3.667 0.406 1.356
La 6.796 5.510 -2.404
La 8.082 3.233 2.560
La -0.471 1.520 0.819
La 4.953 -1.871 6.320
Dy 9.007 3.247 -0.844
Dy 1.469 -2.602 5.674
Dy 0.676 -1.196 2.609
Dy 2.742 0.392 4.760
```

No. 9
Compound: LiAgRu
Source: Alexandria via LeMat-Bulk
Functional: PBE
Structure: optimized geometry

Energy above the most stable polymorph in this dataset, kJ per mole of atoms: 3.2

The structure in extended XYZ format:
```
3
Lattice="-5.753 -4.607 0.005 -3.748 -6.020 -1.046 -0.467 -0.505 2.578" Properties=species:S:1:pos:R:3 pbc="T T T"
Ru -6.553 -7.324 0.139
Ag -9.472 -10.594 -1.030
Li -3.443 -3.840 1.385
```

No. 10
Compound: ThCrC2
Source: Alexandria via LeMat-Bulk
Functional: PBE
Structure: optimized geometry

The structure in extended XYZ format:
```
12
Lattice="5.568 0.000 0.000 -2.784 4.822 0.000 0.000 0.000 6.617" Properties=species:S:1:pos:R:3 pbc="T T T"
Cr -1.700 2.945 1.103
Cr 1.084 1.878 3.308
Cr 3.400 0.000 5.514
C -0.504 2.257 2.343
C 2.206 0.692 4.274
C 2.280 2.566 2.068
C 3.866 1.565 6.479
C 1.082 3.258 4.549
C -0.578 4.131 0.138
Th 3.633 0.000 2.206
Th 0.968 1.676 0.000
Th -1.817 3.146 4.411
```

No. 11
Compound: ZrAgRu2
Source: Alexandria via LeMat-Bulk
Functional: PBE
Structure: optimized geometry

Energy above the most stable polymorph in this dataset, kJ per mole of atoms: 14.6

The structure in extended XYZ format:
```
4
Lattice="-4.256 0.883 2.169 -4.807 -0.460 -0.529 -1.077 -4.207 2.313" Properties=species:S:1:pos:R:3 pbc="T T T"
Zr -7.605 -2.838 2.965
Ru -4.988 -1.868 1.948
Ru -0.082 -0.024 0.029
Ag -2.535 -0.946 0.988
```

No. 12
Compound: K8Au3O
Source: Alexandria via LeMat-Bulk
Functional: PBE
Structure: optimized geometry

Formation energy without anion corrections, eV/atom: -0.3951

The structure in extended XYZ format:
```
12
Lattice="7.950 0.616 0.000 -3.184 7.311 0.000 0.000 0.000 9.391" Properties=species:S:1:pos:R:3 pbc="T T T"
K 5.317 2.199 0.000
K 0.111 5.329 4.696
K 1.412 2.343 2.788
K -0.551 5.728 0.000
K 1.408 2.346 6.603
K 3.358 5.580 6.603
K 4.655 2.597 4.696
K 3.354 5.583 2.788
Au -1.592 3.655 2.359
Au 3.975 0.308 7.033
Au 2.383 3.963 0.000
O 2.383 3.963 4.696
```

The evaluated final energy for the records listed, in turn: -94.662; -10.223; -32.366; -16.971; -57.522; -17.474; -28.471; -50.814; -13.267; -108.662; -29.401; -28.311 eV per cell.